Sm6AsSe3S2 | PBE | relaxed

abc: 9.258 9.258 8.316
angles: 103.66 103.66 25.62
Fractional positions:
Sm: 0.005 0.005 0.245
Sm: 0.328 0.328 0.430
Sm: 0.335 0.335 0.902
Sm: 0.665 0.665 0.098
Sm: 0.672 0.672 0.570
Sm: 0.995 0.995 0.755
As: 0.500 0.500 0.000
Se: 0.166 0.166 0.832
Se: 0.500 0.500 0.500
Se: 0.834 0.834 0.168
S: 0.167 0.167 0.334
S: 0.833 0.833 0.666

## Properties
energy relative to the elements, uncorrected: -1865.0 meV/atom
density of states at the Fermi level: 3.90 states/eV/f.u.
E_tot: -6.171 eV/atom
SG: C2/m